DFT (PBE) results for crystalline ScMn2W at its relaxed geometry.

Calculated values
M_tot (μB/f.u.): 0.73
Formation energy from the elements (eV/atom): 0.387
DOS at the Fermi energy (states/eV per cell): 12.95

a = 2.841 Å, b = 2.841 Å, c = 26.488 Å
α = 90.00°, β = 90.00°, γ = 120.00°
Atoms (fractional coordinates):
Sc (0.000, 0.000, 0.000)
Sc (0.333, 0.667, 0.667)
Sc (0.667, 0.333, 0.333)
Mn (0.000, 0.000, 0.248)
Mn (0.000, 0.000, 0.512)
Mn (0.333, 0.667, 0.179)
Mn (0.333, 0.667, 0.915)
Mn (0.667, 0.333, 0.581)
Mn (0.667, 0.333, 0.846)
W (0.000, 0.000, 0.763)
W (0.333, 0.667, 0.430)
W (0.667, 0.333, 0.096)

=====

DFT (PBE) results for crystalline ScMn2W at its relaxed geometry.

Calculated values
M_tot (μB/f.u.): 0.66
Formation energy from the elements (eV/atom): 0.053
DOS at the Fermi energy (states/eV per cell): 3.85

a = 4.333 Å, b = 4.333 Å, c = 3.013 Å
α = 90.00°, β = 90.00°, γ = 90.00°
Atoms (fractional coordinates):
Sc (0.000, 0.000, 0.000)
Mn (0.000, 0.500, 0.500)
Mn (0.500, 0.000, 0.500)
W (0.500, 0.500, 0.000)

=====

DFT (PBE) results for crystalline ScMn2W at its relaxed geometry.

Calculated values
M_tot (μB/f.u.): 2.78
Formation energy from the elements (eV/atom): 0.397
DOS at the Fermi energy (states/eV per cell): 15.84

a = 2.958 Å, b = 2.958 Å, c = 24.645 Å
α = 90.00°, β = 90.00°, γ = 120.00°
Atoms (fractional coordinates):
Sc (0.000, 0.000, 0.000)
Sc (0.333, 0.667, 0.667)
Sc (0.667, 0.333, 0.333)
Mn (0.000, 0.000, 0.243)
Mn (0.000, 0.000, 0.757)
Mn (0.333, 0.667, 0.424)
Mn (0.333, 0.667, 0.909)
Mn (0.667, 0.333, 0.091)
Mn (0.667, 0.333, 0.576)
W (0.000, 0.000, 0.500)
W (0.333, 0.667, 0.167)
W (0.667, 0.333, 0.833)

=====

DFT (PBE) results for crystalline YSc3Mn at its relaxed geometry.

Calculated values
Energy above the most stable polymorph in this dataset (meV/atom): 0
M_tot (μB/f.u.): 0.24
Formation energy from the elements (eV/atom): 0.124
DOS at the Fermi energy (states/eV per cell): 9.16

a = 4.945 Å, b = 4.945 Å, c = 4.945 Å
α = 90.00°, β = 90.00°, γ = 90.00°
Atoms (fractional coordinates):
Y (0.000, 0.000, 0.000)
Sc (0.000, 0.500, 0.500)
Sc (0.500, 0.000, 0.500)
Sc (0.500, 0.500, 0.000)
Mn (0.500, 0.500, 0.500)

=====

DFT (PBE) results for crystalline YSc2Mn2 at its relaxed geometry.

Calculated values
Energy above the most stable polymorph in this dataset (meV/atom): 0
M_tot (μB/f.u.): 4.51
Formation energy from the elements (eV/atom): 0.089
DOS at the Fermi energy (states/eV per cell): 9.90

a = 7.676 Å, b = 7.676 Å, c = 3.560 Å
α = 90.00°, β = 90.00°, γ = 90.00°
Atoms (fractional coordinates):
Y (0.000, 0.000, 0.000)
Y (0.500, 0.500, 0.000)
Sc (0.159, 0.341, 0.500)
Sc (0.341, 0.841, 0.500)
Sc (0.659, 0.159, 0.500)
Sc (0.841, 0.659, 0.500)
Mn (0.125, 0.625, 0.000)
Mn (0.375, 0.125, 0.000)
Mn (0.625, 0.875, 0.000)
Mn (0.875, 0.375, 0.000)

=====

DFT (PBE) results for crystalline YSc4Mn at its relaxed geometry.

Calculated values
M_tot (μB/f.u.): 4.74
Formation energy from the elements (eV/atom): 0.416
DOS at the Fermi energy (states/eV per cell): 8.55

a = 5.997 Å, b = 5.997 Å, c = 5.997 Å
α = 60.00°, β = 60.00°, γ = 60.00°
Atoms (fractional coordinates):
Y (0.000, 0.000, 0.000)
Sc (0.375, 0.375, 0.375)
Sc (0.375, 0.375, 0.875)
Sc (0.375, 0.875, 0.375)
Sc (0.875, 0.375, 0.375)
Mn (0.750, 0.750, 0.750)

=====

DFT (PBE) results for crystalline YSc2Mn2 at its relaxed geometry.

Calculated values
Energy above the most stable polymorph in this dataset (meV/atom): 60
M_tot (μB/f.u.): 4.93
Formation energy from the elements (eV/atom): 0.149
DOS at the Fermi energy (states/eV per cell): 12.44

a = 8.122 Å, b = 8.122 Å, c = 3.097 Å
α = 90.00°, β = 90.00°, γ = 90.00°
Atoms (fractional coordinates):
Y (0.000, 0.000, 0.000)
Y (0.500, 0.500, 0.000)
Sc (0.130, 0.370, 0.000)
Sc (0.370, 0.870, 0.000)
Sc (0.630, 0.130, 0.000)
Sc (0.870, 0.630, 0.000)
Mn (0.166, 0.666, 0.500)
Mn (0.334, 0.166, 0.500)
Mn (0.666, 0.834, 0.500)
Mn (0.834, 0.334, 0.500)

=====

DFT (PBE) results for crystalline YSc3Mn at its relaxed geometry.

Calculated values
Energy above the most stable polymorph in this dataset (meV/atom): 1552
M_tot (μB/f.u.): 0.03
Formation energy from the elements (eV/atom): 1.676
DOS at the Fermi energy (states/eV per cell): 8.78

a = 5.043 Å, b = 5.043 Å, c = 5.043 Å
α = 90.00°, β = 90.00°, γ = 90.00°
Atoms (fractional coordinates):
Y (0.000, 0.000, 0.000)
Sc (0.000, 0.000, 0.500)
Sc (0.000, 0.500, 0.000)
Sc (0.500, 0.000, 0.000)
Mn (0.500, 0.500, 0.500)

=====

DFT (PBE) results for crystalline YScMnZn at its relaxed geometry.

Calculated values
M_tot (μB/f.u.): 2.63
Formation energy from the elements (eV/atom): -0.051
DOS at the Fermi energy (states/eV per cell): 21.89

a = 6.894 Å, b = 6.894 Å, c = 6.894 Å
α = 90.00°, β = 90.00°, γ = 90.00°
Atoms (fractional coordinates):
Y (0.000, 0.000, 0.000)
Y (0.000, 0.500, 0.500)
Y (0.500, 0.000, 0.500)
Y (0.500, 0.500, 0.000)
Sc (0.000, 0.000, 0.500)
Sc (0.000, 0.500, 0.000)
Sc (0.500, 0.000, 0.000)
Sc (0.500, 0.500, 0.500)
Mn (0.250, 0.250, 0.250)
Mn (0.250, 0.750, 0.750)
Mn (0.750, 0.250, 0.750)
Mn (0.750, 0.750, 0.250)
Zn (0.250, 0.250, 0.750)
Zn (0.250, 0.750, 0.250)
Zn (0.750, 0.250, 0.250)
Zn (0.750, 0.750, 0.750)

=====

DFT (PBE) results for crystalline ScMn2Zn at its relaxed geometry.

Calculated values
M_tot (μB/f.u.): 0.77
Formation energy from the elements (eV/atom): -0.056
DOS at the Fermi energy (states/eV per cell): 3.14

a = 3.008 Å, b = 3.008 Å, c = 6.668 Å
α = 90.00°, β = 90.00°, γ = 90.00°
Atoms (fractional coordinates):
Sc (0.000, 0.000, 0.000)
Mn (0.000, 0.000, 0.532)
Mn (0.500, 0.500, 0.721)
Zn (0.500, 0.500, 0.302)

=====

DFT (PBE) results for crystalline Sc2Mn2Zn15 at its relaxed geometry.

Calculated values
M_tot (μB/f.u.): 6.97
Formation energy from the elements (eV/atom): -0.103
DOS at the Fermi energy (states/eV per cell): 10.58

a = 6.706 Å, b = 6.706 Å, c = 6.706 Å
α = 82.52°, β = 82.52°, γ = 82.52°
Atoms (fractional coordinates):
Sc (0.169, 0.169, 0.169)
Sc (0.831, 0.831, 0.831)
Mn (0.400, 0.400, 0.400)
Mn (0.600, 0.600, 0.600)
Zn (0.000, 0.500, 0.500)
Zn (0.143, 0.143, 0.654)
Zn (0.143, 0.654, 0.143)
Zn (0.208, 0.500, 0.792)
Zn (0.208, 0.792, 0.500)
Zn (0.346, 0.857, 0.857)
Zn (0.500, 0.000, 0.500)
Zn (0.500, 0.208, 0.792)
Zn (0.500, 0.500, 0.000)
Zn (0.500, 0.792, 0.208)
Zn (0.654, 0.143, 0.143)
Zn (0.792, 0.208, 0.500)
Zn (0.792, 0.500, 0.208)
Zn (0.857, 0.346, 0.857)
Zn (0.857, 0.857, 0.346)

=====

DFT (PBE) results for crystalline ScMn2Zn at its relaxed geometry.

Calculated values
M_tot (μB/f.u.): 5.46
Formation energy from the elements (eV/atom): 0.259
DOS at the Fermi energy (states/eV per cell): 10.23

a = 2.911 Å, b = 2.911 Å, c = 26.297 Å
α = 90.00°, β = 90.00°, γ = 120.00°
Atoms (fractional coordinates):
Sc (0.000, 0.000, 0.000)
Sc (0.333, 0.667, 0.667)
Sc (0.667, 0.333, 0.333)
Mn (0.000, 0.000, 0.247)
Mn (0.000, 0.000, 0.753)
Mn (0.333, 0.667, 0.420)
Mn (0.333, 0.667, 0.913)
Mn (0.667, 0.333, 0.087)
Mn (0.667, 0.333, 0.580)
Zn (0.000, 0.000, 0.500)
Zn (0.333, 0.667, 0.167)
Zn (0.667, 0.333, 0.833)

=====

Which value of M_tot does entry 1 give? 0.73 μB/f.u.

=====

Which of these has the lowest DOS at the Fermi energy? number 10